Here is ZnSI2N after structural relaxation from the Alexandria database. Energies are from PBE.

Output
The spin magnetization comes out at 0.000 μB/atom. The value obtained for the raw total energy is -2.637 eV per atom. The uncorrected formation energy is 728 meV/atom. As for the mass density: 3.6 Mg/m³. The value obtained for the excess energy over the best structure of this formula in the dataset is 0.0 kJ/mol of formula units.

a b c (Å): 7.2716 7.2716 3.2205
angles (deg): 90.00 90.00 90.00
Fractional positions:
I  0.0000  0.5000  0.0000
I  0.5000  0.0000  0.0000
Zn  0.5000  0.5000  0.5000
S  0.0000  0.0000  0.0000
N  0.0000  0.0000  0.5000